Computed, not measured: a geometry-optimized Tb3HgPb2 structure at the PBE level of DFT.

distance to the lowest polymorph of the same formula	16.0	meV/atom
total magnetization	0.00	μB per formula unit
symmetry	C2/c
DFT formation energy	-0.42	eV/atom

Geometry as POSCAR:
```
Tb3HgPb2
1.0
6.3950 0.0000 0.0000
0.0000 6.5470 -0.0686
-3.1975 -1.7107 8.0700
Pb Hg Tb
4 2 6
direct
0.2347 0.9407 0.6776 Pb
0.7653 0.0593 0.3224 Pb
0.5571 0.5593 0.3224 Pb
0.4429 0.4407 0.6776 Pb
0.8784 0.7500 0.0000 Hg
0.1216 0.2500 0.0000 Hg
0.0616 0.5961 0.3360 Tb
0.6373 0.2500 0.0000 Tb
0.7256 0.9039 0.6640 Tb
0.2744 0.0961 0.3360 Tb
0.9384 0.4039 0.6640 Tb
0.3627 0.7500 0.0000 Tb
```